Record 1
Computed, not measured: crystalline ScSbIr at its relaxed geometry at the PBE-GGA level of DFT.

Calculated values
**Formation energy (no corrections)**: -0.222 eV per atom
**Calculated volume**: 61.84 Å³/cell
**Total moment**: 0.00 μB per formula unit

Unit cell a=3.2995 b=3.2995 c=6.5592 alpha=90.00 beta=90.00 gamma=120.00
Space group P3m1 (No. 156)
Asymmetric unit:
Sc  0.0000  0.0000  0.0000
Sb  0.3333  0.6667  0.6093
Ir  0.6667  0.3333  0.2794

Record 2
Computed, not measured: crystalline Sc2SbIr at its relaxed geometry at the PBE-GGA level of DFT.

Calculated values
**Formation energy (no corrections)**: -0.622 eV per atom
**Calculated volume**: 88.10 Å³/cell
**Total moment**: 0.00 μB per formula unit

Unit cell a=3.873 b=3.873 c=5.872 alpha=90.00 beta=90.00 gamma=90.00
Space group P4mm (No. 99)
Asymmetric unit:
Sc  0.000  0.000  0.000
Sc  0.500  0.500  0.333
Sb  0.500  0.500  0.825
Ir  0.000  0.000  0.426

Record 3
Computed, not measured: crystalline Sc2SbIr at its relaxed geometry at the PBE-GGA level of DFT.

Calculated values
**Formation energy (no corrections)**: -0.601 eV per atom
**Calculated volume**: 269.72 Å³/cell
**Total moment**: 0.00 μB per formula unit

Unit cell a=3.8352 b=3.8352 c=21.1741 alpha=90.00 beta=90.00 gamma=120.00
Space group R-3m (No. 166, hexagonal axes)
Asymmetric unit:
Sc  0.0000  0.0000  0.2365
Sb  0.0000  0.0000  0.0000
Ir  0.0000  0.0000  0.5000

Which formula does entry 1 have?
ScSbIr